Compound: NaMnSnCl5
Source: the Alexandria database
Functional: PBE
Structure: relaxed

Lattice parameters (Å, degrees): 7.299 7.299 9.721 103.29 103.29 106.85
Fractional coordinates of all 16 atoms:
Cl: 0.280 0.393 0.555
Cl: 0.720 0.607 0.445
Cl: 0.350 0.943 0.646
Cl: 0.650 0.057 0.354
Cl: 0.114 0.886 0.250
Cl: 0.886 0.114 0.750
Cl: 0.393 0.280 0.055
Cl: 0.057 0.650 0.854
Cl: 0.943 0.350 0.146
Cl: 0.607 0.720 0.945
Na: 0.000 0.000 0.000
Na: 0.000 0.000 0.500
Mn: 0.325 0.675 0.750
Mn: 0.675 0.325 0.250
Sn: 0.669 0.331 0.750
Sn: 0.331 0.669 0.250

Calculated values
The value obtained for the total energy is -4.15 eV/atom. The value obtained for the uncorrected formation energy is -1.180 eV per atom. For the density, the calculation gives 2.7 g/cm³. The total magnetization comes out at 0.6250 μB/atom.